Material: CoB4Sb
Method: DFT, PBE-GGA
State: relaxed

Cell lengths 4.8069, 4.8069, 4.8069 Å; angles 142.77, 112.43, 79.76 degrees
Fractional positions:
B 0.4063 0.7414 0.6649
B 0.5937 0.2586 0.3351
B 0.9235 0.2586 0.6649
B 0.0765 0.7414 0.3351
Sb 0.5000 0.5000 0.0000
Co 0.0000 0.0000 0.0000

Output
Energy: -34.232 eV per formula unit
Total moment: 1.7 μB/cell